one) VASP calculation (GGA-PBE) on an optimized crystal structure of KSr3Pd.

```
KSr3Pd
1.0
-4.122 4.122 7.993
4.122 -4.122 7.993
4.122 4.122 -7.993
K Sr Pd
2 6 2
Cartesian
0.000 0.000 2.171 K
0.000 0.000 13.814 K
4.122 0.000 1.761 Sr
4.122 2.073 -2.020 Sr
4.122 0.000 6.232 Sr
0.000 2.049 5.973 Sr
2.073 4.122 2.020 Sr
2.049 0.000 10.012 Sr
0.000 0.000 7.993 Pd
0.000 4.122 3.996 Pd
```

two) VASP calculation (GGA-PBE) on an optimized crystal structure of KSr3Pd.

```
KSr3Pd
1.0
5.445 0.000 0.000
0.000 8.268 0.000
0.000 0.000 9.867
K Sr Pd
2 6 2
Cartesian
1.361 2.067 2.013 K
4.084 6.201 7.854 K
1.361 0.211 6.254 Sr
1.361 3.923 6.254 Sr
1.361 6.201 0.959 Sr
4.084 2.067 8.908 Sr
4.084 4.346 3.613 Sr
4.084 8.057 3.613 Sr
1.361 6.201 4.008 Pd
4.084 2.067 5.859 Pd
```

three) VASP calculation (GGA-PBE) on an optimized crystal structure of KSr3Pd.

```
KSr3Pd
1.0
3.602 -10.859 0.000
3.602 10.859 0.000
0.000 0.000 7.892
K Sr Pd
2 6 2
Cartesian
3.602 7.007 5.919 K
3.602 -7.007 1.973 K
0.000 0.000 0.000 Sr
0.000 0.000 3.946 Sr
1.855 2.998 5.919 Sr
1.855 -2.998 1.973 Sr
5.349 2.998 5.919 Sr
5.349 -2.998 1.973 Sr
3.602 0.716 5.919 Pd
3.602 -0.716 1.973 Pd
```

four) VASP calculation (GGA-PBE) on an optimized crystal structure of KSr3Pd.

```
KSr3Pd
1.0
3.922 -8.007 0.000
3.922 8.007 0.000
0.000 0.000 7.202
K Sr Pd
2 6 2
Cartesian
3.922 6.889 5.402 K
3.922 -6.889 1.801 K
1.965 3.148 5.402 Sr
1.965 -3.148 1.801 Sr
3.922 0.000 0.000 Sr
3.922 0.000 3.601 Sr
5.878 3.148 5.402 Sr
5.878 -3.148 1.801 Sr
3.922 2.584 1.801 Pd
3.922 -2.584 5.402 Pd
```

Short version: two) is the most stable of them.

one) VASP calculation (GGA-PBE) on an optimized crystal structure of K3SrPd.

```
K3SrPd
1.0
7.417 0.000 0.000
0.000 7.417 0.000
0.000 0.000 7.417
K Sr Pd
3 1 1
Cartesian
0.000 0.000 3.708 K
0.000 3.708 0.000 K
3.708 0.000 0.000 K
0.000 0.000 0.000 Sr
3.708 3.708 3.708 Pd
```

two) VASP calculation (GGA-PBE) on an optimized crystal structure of K3SrPd.

```
K3SrPd
1.0
6.410 0.000 0.000
0.000 6.410 0.000
0.000 0.000 6.410
K Sr Pd
3 1 1
Cartesian
0.000 0.000 3.205 K
0.000 3.205 0.000 K
3.205 0.000 0.000 K
3.205 3.205 3.205 Sr
0.000 0.000 0.000 Pd
```

Short version: two) is the most stable of them.